Entry 1:
Compound: ZrAlAu2
Source: the Open Quantum Materials Database
Functional: PBE
Structure: optimized geometry

Cell: 3.168 3.168 7.209 Å, 90.00 90.00 90.00°
Space group P4/mmm (No. 123)
Inequivalent atoms, fractional coordinates:
Zr  0.000  0.000  0.000 (multiplicity 1)
Al  0.000  0.000  0.500 (multiplicity 1)
Au  0.500  0.500  0.279 (multiplicity 2)

E_tot ... -5.195 eV/atom
Theoretical density ... 11.75 g/cm³
M_tot ... 0.01 μB/cell

---

Entry 2:
Compound: ZrAl2Au2
Source: the Open Quantum Materials Database
Functional: PBE
Structure: optimized geometry

Cell: 3.988 3.988 11.731 Å, 90.00 90.00 90.00°
Space group I4/mmm (No. 139)
Inequivalent atoms, fractional coordinates:
Zr  0.000  0.000  0.000 (multiplicity 2)
Al  0.000  0.500  0.250 (multiplicity 4)
Au  0.000  0.000  0.387 (multiplicity 4)

E_tot ... -4.964 eV/atom
Theoretical density ... 9.59 g/cm³
M_tot ... 0.00 μB/cell

---

Entry 3:
Compound: ZrAlAu2
Source: the Open Quantum Materials Database
Functional: PBE
Structure: optimized geometry

Cell: 4.346 4.346 3.942 Å, 90.00 90.00 90.00°
Space group P4/mmm (No. 123)
Inequivalent atoms, fractional coordinates:
Zr  0.000  0.000  0.000 (multiplicity 1)
Al  0.500  0.500  0.000 (multiplicity 1)
Au  0.000  0.500  0.500 (multiplicity 2)

E_tot ... -5.138 eV/atom
Theoretical density ... 11.42 g/cm³
M_tot ... 0.00 μB/cell

---

Entry 4:
Compound: Ba2Nd2Al3B12O27
Source: the Open Quantum Materials Database
Functional: PBE
Structure: optimized geometry

Cell: 4.6452 4.6452 24.5332 Å, 90.00 90.00 120.00°
Space group P-62m (No. 189)
Inequivalent atoms, fractional coordinates:
Ba  0.0000  0.0000  0.1468 (multiplicity 2)
Nd  0.0000  0.0000  0.2999 (multiplicity 2)
Al  0.0000  0.6270  0.5000 (multiplicity 3)
B  0.3333  0.6667  0.0679 (multiplicity 4)
B  0.3333  0.6667  0.2202 (multiplicity 4)
B  0.3333  0.6667  0.3870 (multiplicity 4)
O  0.0000  0.0000  0.5000 (multiplicity 1)
O  0.0000  0.4120  0.2473 (multiplicity 6)
O  0.0000  0.4122  0.3703 (multiplicity 6)
O  0.0000  0.4205  0.0633 (multiplicity 6)
O  0.3333  0.6667  0.1648 (multiplicity 4)
O  0.3333  0.6667  0.4522 (multiplicity 4)

E_tot ... -7.649 eV/atom
Theoretical density ... 4.37 g/cm³
M_tot ... 0.55 μB/cell

---

Entry 5:
Compound: BeAlBPd
Source: the Open Quantum Materials Database
Functional: PBE
Structure: optimized geometry

Cell: 5.585 5.585 5.585 Å, 90.00 90.00 90.00°
Space group F-43m (No. 216)
Inequivalent atoms, fractional coordinates:
Be  0.000  0.000  0.000 (multiplicity 4)
Al  0.250  0.250  0.750 (multiplicity 4)
B  0.000  0.000  0.500 (multiplicity 4)
Pd  0.250  0.250  0.250 (multiplicity 4)

E_tot ... -4.610 eV/atom
Energy relative to the lowest polymorph listed for this composition ... 0 meV/atom
Theoretical density ... 5.84 g/cm³

---

Entry 6:
Compound: BeAlBPd
Source: the Open Quantum Materials Database
Functional: PBE
Structure: optimized geometry

Cell: 5.651 5.651 5.651 Å, 90.00 90.00 90.00°
Space group F-43m (No. 216)
Inequivalent atoms, fractional coordinates:
Be  0.000  0.000  0.000 (multiplicity 4)
Al  0.250  0.250  0.250 (multiplicity 4)
B  0.250  0.250  0.750 (multiplicity 4)
Pd  0.000  0.000  0.500 (multiplicity 4)

E_tot ... -4.461 eV/atom
Energy relative to the lowest polymorph listed for this composition ... 150 meV/atom
Theoretical density ... 5.64 g/cm³

---

Entry 7:
Compound: BeAlBPd
Source: the Open Quantum Materials Database
Functional: PBE
Structure: optimized geometry

Cell: 5.666 5.666 5.666 Å, 90.00 90.00 90.00°
Space group F-43m (No. 216)
Inequivalent atoms, fractional coordinates:
Be  0.000  0.000  0.000 (multiplicity 4)
Al  0.000  0.000  0.500 (multiplicity 4)
B  0.250  0.250  0.750 (multiplicity 4)
Pd  0.250  0.250  0.250 (multiplicity 4)

E_tot ... -4.574 eV/atom
Energy relative to the lowest polymorph listed for this composition ... 37 meV/atom
Theoretical density ... 5.59 g/cm³

---

Entry 8:
Compound: BeAlBPt
Source: the Open Quantum Materials Database
Functional: PBE
Structure: optimized geometry

Cell: 5.718 5.718 5.718 Å, 90.00 90.00 90.00°
Space group F-43m (No. 216)
Inequivalent atoms, fractional coordinates:
Be  0.000  0.000  0.000 (multiplicity 4)
Al  0.000  0.000  0.500 (multiplicity 4)
B  0.250  0.250  0.750 (multiplicity 4)
Pt  0.250  0.250  0.250 (multiplicity 4)

E_tot ... -4.828 eV/atom
Energy relative to the lowest polymorph listed for this composition ... 108 meV/atom
Theoretical density ... 8.59 g/cm³
M_tot ... 0.00 μB/cell

---

Entry 9:
Compound: BeAlBPt
Source: the Open Quantum Materials Database
Functional: PBE
Structure: optimized geometry

Cell: 5.596 5.596 5.596 Å, 90.00 90.00 90.00°
Space group F-43m (No. 216)
Inequivalent atoms, fractional coordinates:
Be  0.000  0.000  0.000 (multiplicity 4)
Al  0.250  0.250  0.750 (multiplicity 4)
B  0.000  0.000  0.500 (multiplicity 4)
Pt  0.250  0.250  0.250 (multiplicity 4)

E_tot ... -4.936 eV/atom
Energy relative to the lowest polymorph listed for this composition ... 0 meV/atom
Theoretical density ... 9.17 g/cm³
M_tot ... 0.00 μB/cell

---

Entry 10:
Compound: AlZnB6H22C5N5O12
Source: the Open Quantum Materials Database
Functional: PBE
Structure: optimized geometry

Cell: 7.214 15.562 7.903 Å, 90.00 104.70 90.00°
Space group P2_1 (No. 4)
Inequivalent atoms, fractional coordinates:
Al  0.245  0.000  0.264 (multiplicity 2)
Zn  0.104  0.232  0.751 (multiplicity 2)
B  0.146  0.566  0.831 (multiplicity 2)
B  0.257  0.857  0.774 (multiplicity 2)
B  0.263  0.714  0.908 (multiplicity 2)
B  0.287  0.849  0.085 (multiplicity 2)
B  0.357  0.985  0.633 (multiplicity 2)
B  0.481  0.598  0.859 (multiplicity 2)
H  0.010  0.100  0.924 (multiplicity 2)
H  0.013  0.864  0.465 (multiplicity 2)
H  0.020  0.557  0.447 (multiplicity 2)
H  0.086  0.391  0.023 (multiplicity 2)
H  0.095  0.235  0.073 (multiplicity 2)
H  0.114  0.410  0.710 (multiplicity 2)
H  0.140  0.502  0.309 (multiplicity 2)
H  0.185  0.064  0.844 (multiplicity 2)
H  0.188  0.730  0.532 (multiplicity 2)
H  0.193  0.249  0.385 (multiplicity 2)
H  0.252  0.762  0.355 (multiplicity 2)
H  0.262  0.405  0.447 (multiplicity 2)
H  0.279  0.363  0.205 (multiplicity 2)
H  0.314  0.630  0.269 (multiplicity 2)
H  0.319  0.232  0.056 (multiplicity 2)
H  0.320  0.384  0.996 (multiplicity 2)
H  0.336  0.146  0.590 (multiplicity 2)
H  0.359  0.607  0.495 (multiplicity 2)
H  0.404  0.380  0.656 (multiplicity 2)
H  0.444  0.271  0.440 (multiplicity 2)
H  0.448  0.984  0.888 (multiplicity 2)
H  0.458  0.217  0.730 (multiplicity 2)
C  0.084  0.565  0.336 (multiplicity 2)
C  0.219  0.355  0.063 (multiplicity 2)
C  0.249  0.629  0.380 (multiplicity 2)
C  0.279  0.359  0.554 (multiplicity 2)
C  0.315  0.270  0.491 (multiplicity 2)
N  0.061  0.099  0.813 (multiplicity 2)
N  0.113  0.358  0.630 (multiplicity 2)
N  0.177  0.716  0.402 (multiplicity 2)
N  0.190  0.264  0.013 (multiplicity 2)
N  0.332  0.208  0.636 (multiplicity 2)
O  0.005  0.507  0.795 (multiplicity 2)
O  0.117  0.647  0.887 (multiplicity 2)
O  0.202  0.774  0.754 (multiplicity 2)
O  0.268  0.904  0.629 (multiplicity 2)
O  0.276  0.761  0.072 (multiplicity 2)
O  0.290  0.890  0.235 (multiplicity 2)
O  0.297  0.897  0.936 (multiplicity 2)
O  0.326  0.541  0.813 (multiplicity 2)
O  0.338  0.029  0.484 (multiplicity 2)
O  0.342  0.072  0.143 (multiplicity 2)
O  0.451  0.680  0.908 (multiplicity 2)
O  0.463  0.019  0.789 (multiplicity 2)

E_tot ... -6.205 eV/atom
Theoretical density ... 1.94 g/cm³

---

Entry 11:
Compound: AlCdB2
Source: the Open Quantum Materials Database
Functional: PBE
Structure: optimized geometry

Cell: 6.053 6.053 6.053 Å, 90.00 90.00 90.00°
Space group F-43m (No. 216)
Inequivalent atoms, fractional coordinates:
Al  0.000  0.000  0.000 (multiplicity 4)
Cd  0.250  0.250  0.250 (multiplicity 4)
B  0.000  0.000  0.500 (multiplicity 4)
B  0.250  0.250  0.750 (multiplicity 4)

E_tot ... -2.928 eV/atom
Theoretical density ... 4.82 g/cm³

---

Entry 12:
Compound: AlCdB4
Source: the Open Quantum Materials Database
Functional: PBE
Structure: optimized geometry

Cell: 3.107 5.397 7.105 Å, 90.00 90.00 90.00°
Space group Immm (No. 71)
Inequivalent atoms, fractional coordinates:
Al  0.000  0.000  0.000 (multiplicity 2)
Cd  0.000  0.000  0.500 (multiplicity 2)
B  0.000  0.333  0.256 (multiplicity 8)

E_tot ... -4.891 eV/atom
Energy relative to the lowest polymorph listed for this composition ... 138 meV/atom
Theoretical density ... 5.09 g/cm³

---

Entry 13:
Compound: AlCdB
Source: the Open Quantum Materials Database
Functional: PBE
Structure: optimized geometry

Cell: 3.941 16.163 3.145 Å, 90.00 90.00 90.00°
Space group Cmcm (No. 63)
Inequivalent atoms, fractional coordinates:
Al  0.000  0.212  0.250 (multiplicity 4)
Cd  0.000  0.397  0.250 (multiplicity 4)
B  0.000  0.001  0.250 (multiplicity 4)

E_tot ... -3.397 eV/atom
Theoretical density ... 4.98 g/cm³

---

Entry 14:
Compound: AlCdB4
Source: the Open Quantum Materials Database
Functional: PBE
Structure: optimized geometry

Cell: 3.0647 3.0647 7.2617 Å, 90.00 90.00 120.00°
Space group P6/mmm (No. 191)
Inequivalent atoms, fractional coordinates:
Al  0.0000  0.0000  0.0000 (multiplicity 1)
Cd  0.0000  0.0000  0.5000 (multiplicity 1)
B  0.3333  0.6667  0.2118 (multiplicity 4)

E_tot ... -5.029 eV/atom
Energy relative to the lowest polymorph listed for this composition ... 0 meV/atom
Theoretical density ... 5.13 g/cm³

---

Entry 15:
Compound: Al2CdB
Source: the Open Quantum Materials Database
Functional: PBE
Structure: optimized geometry

Cell: 6.411 6.411 6.411 Å, 90.00 90.00 90.00°
Space group F-43m (No. 216)
Inequivalent atoms, fractional coordinates:
Al  0.000  0.000  0.000 (multiplicity 4)
Al  0.250  0.250  0.250 (multiplicity 4)
Cd  0.250  0.250  0.750 (multiplicity 4)
B  0.000  0.000  0.500 (multiplicity 4)

E_tot ... -2.888 eV/atom
Theoretical density ... 4.47 g/cm³

---

Entry 16:
Compound: AlCoB4
Source: the Open Quantum Materials Database
Functional: PBE
Structure: optimized geometry

Cell: 2.9770 2.9770 6.2029 Å, 90.00 90.00 120.00°
Space group P6/mmm (No. 191)
Inequivalent atoms, fractional coordinates:
Al  0.0000  0.0000  0.0000 (multiplicity 1)
Co  0.0000  0.0000  0.5000 (multiplicity 1)
B  0.3333  0.6667  0.2566 (multiplicity 4)

E_tot ... -6.269 eV/atom
Energy relative to the lowest polymorph listed for this composition ... 7 meV/atom
Theoretical density ... 4.51 g/cm³
M_tot ... 0.41 μB/cell

---

Entry 17:
Compound: Al2CoB
Source: the Open Quantum Materials Database
Functional: PBE
Structure: optimized geometry

Cell: 5.628 5.628 5.628 Å, 90.00 90.00 90.00°
Space group F-43m (No. 216)
Inequivalent atoms, fractional coordinates:
Al  0.000  0.000  0.000 (multiplicity 4)
Al  0.250  0.250  0.250 (multiplicity 4)
Co  0.250  0.250  0.750 (multiplicity 4)
B  0.000  0.000  0.500 (multiplicity 4)

E_tot ... -4.912 eV/atom
Theoretical density ... 4.61 g/cm³
M_tot ... 0.00 μB/cell

---

Entry 18:
Compound: Al3Co20B6
Source: the Open Quantum Materials Database
Functional: PBE
Structure: optimized geometry

Cell: 10.453 10.453 10.453 Å, 90.00 90.00 90.00°
Space group Fm-3m (No. 225)
Inequivalent atoms, fractional coordinates:
Al  0.000  0.000  0.000 (multiplicity 4)
Al  0.250  0.250  0.250 (multiplicity 8)
Co  0.000  0.170  0.170 (multiplicity 48)
Co  0.118  0.118  0.382 (multiplicity 32)
B  0.000  0.000  0.277 (multiplicity 24)

E_tot ... -6.899 eV/atom
Theoretical density ... 7.70 g/cm³
M_tot ... 6.46 μB/cell

---

Entry 19:
Compound: AlCoB4
Source: the Open Quantum Materials Database
Functional: PBE
Structure: optimized geometry

Cell: 2.977 5.127 6.336 Å, 90.00 90.00 90.00°
Space group Immm (No. 71)
Inequivalent atoms, fractional coordinates:
Al  0.000  0.000  0.000 (multiplicity 2)
Co  0.000  0.000  0.500 (multiplicity 2)
B  0.000  0.332  0.253 (multiplicity 8)

E_tot ... -6.276 eV/atom
Energy relative to the lowest polymorph listed for this composition ... 0 meV/atom
Theoretical density ... 4.44 g/cm³
M_tot ... 2.40 μB/cell

---

Entry 20:
Compound: AlCoB
Source: the Open Quantum Materials Database
Functional: PBE
Structure: optimized geometry

Cell: 5.038 5.038 5.038 Å, 90.00 90.00 90.00°
Space group F-43m (No. 216)
Inequivalent atoms, fractional coordinates:
Al  0.000  0.000  0.000 (multiplicity 4)
Co  0.000  0.000  0.500 (multiplicity 4)
B  0.250  0.250  0.250 (multiplicity 4)

E_tot ... -6.012 eV/atom
Theoretical density ... 5.03 g/cm³
M_tot ... 0.08 μB/cell